# 1
Material: Ca4SI2
Method: DFT, PBE
State: optimized geometry

## Properties
* uncorrected energy: -3.13 eV per atom
* formation energy from raw total energies: -956 meV/atom

a b c (Å): 5.3640 5.3640 20.0933
angles (deg): 90.00 90.00 90.00
Last column: nearest neighbours and their distance in Å.
Space group I4/mmm (No. 139)
Inequivalent atoms, fractional coordinates:
Ca (0.0000, 0.0000, 0.2319) x4  1 I 3.46, 4 Ca 3.86
Ca (0.0000, 0.5000, 0.0000) x4  2 S 2.68
S (0.0000, 0.0000, 0.0000) x2  4 Ca 2.68
I (0.0000, 0.0000, 0.4041) x4  5 Ca 3.30-3.46

# 2
Material: Ca2SI
Method: DFT, PBE
State: optimized geometry

## Properties
* uncorrected energy: -3.78 eV per atom
* offset from the most stable computed form: 204.4 meV/atom
* formation energy from raw total energies: -1357 meV/atom

a b c (Å): 6.8275 6.8275 13.1373
angles (deg): 90.00 90.00 90.00
Last column: nearest neighbours and their distance in Å.
Space group I-42d (No. 122)
Inequivalent atoms, fractional coordinates:
Ca (0.1873, 0.2500, 0.1250) x8  2 S 2.69
S (0.0000, 0.0000, 0.0000) x4  4 Ca 2.69
I (0.0000, 0.0000, 0.5000) x4  4 Ca 3.19

# 3
Material: Ca2SI
Method: DFT, PBE
State: optimized geometry

## Properties
* uncorrected energy: -3.98 eV per atom
* offset from the most stable computed form: 0.0 meV/atom
* formation energy from raw total energies: -1561 meV/atom

a b c (Å): 4.1748 4.1748 22.0325
angles (deg): 90.00 90.00 120.00
Last column: nearest neighbours and their distance in Å.
Space group R-3m (No. 166, hexagonal axes)
Inequivalent atoms, fractional coordinates:
Ca (0.0000, 0.0000, 0.2307) x6  3 S 2.79
S (0.0000, 0.0000, 0.5000) x3  6 Ca 2.79
I (0.0000, 0.0000, 0.0000) x3  6 Ca 3.30

# 4
Material: Ca2SI
Method: DFT, PBE
State: optimized geometry

## Properties
* uncorrected energy: -3.98 eV per atom
* offset from the most stable computed form: 0.4 meV/atom
* formation energy from raw total energies: -1561 meV/atom

a b c (Å): 4.1489 4.1489 22.6333
angles (deg): 90.00 90.00 120.00
Last column: nearest neighbours and their distance in Å.
Space group R3m (No. 160, hexagonal axes)
Inequivalent atoms, fractional coordinates:
Ca (0.0000, 0.0000, 0.0000) x3  3 S 2.85
Ca (0.0000, 0.0000, 0.2042) x3  3 S 2.77
S (0.0000, 0.0000, 0.5988) x3  6 Ca 2.77-2.85
I (0.0000, 0.0000, 0.7713) x3  6 Ca 3.29-3.37

Computed V (Å³ per cell) in order:
578.13; 612.38; 332.56; 337.41